Compound: TaWNF2
Source: Alexandria
Functional: GGA+U
Structure: relaxed

a = 4.113 Å, b = 4.113 Å, c = 4.449 Å
α = 90.00°, β = 90.00°, γ = 90.00°
Element x y z (fractional)
Ta 0.000 0.000 0.000
W 0.500 0.500 0.500
N 0.500 0.500 0.000
F 0.000 0.500 0.500
F 0.500 0.000 0.500

Calculated values
Its space group is P4/mmm, No. 123. The value obtained for the theoretical density is 9.2 g/cm³. As for the density of states at the Fermi level: 5.761 states/eV/cell. As for the excess energy over the best structure of this formula in the dataset: 0.625 eV per atom. The size of the total moment comes out at 5.89 μB/cell.